No. 1
CaSm5Pb6 | PBE-GGA | optimized geometry

```
12
Lattice="4.350 -8.076 0.000 4.350 8.076 0.000 -3.264 0.000 5.296" Properties=species:S:1:pos:R:3 pbc="T T T"
Ca 0.000 0.000 0.000
Sm 2.718 5.580 2.648
Sm 4.350 2.812 0.000
Sm 2.718 0.000 2.648
Sm 4.350 -2.812 0.000
Sm 2.718 -5.580 2.648
Pb 1.391 2.712 1.430
Pb -0.206 0.000 4.185
Pb 1.391 -2.712 1.430
Pb 4.046 2.712 3.866
Pb 5.642 0.000 1.112
Pb 4.046 -2.712 3.866
```

Values from the calculation:
Magnetic moment (μB per formula unit): 0.00
SG: C2/m, No. 12
ΔH_f (0 K) (kJ/mol of formula units): -546

---

No. 2
CaSm4Pb5 | PBE-GGA | optimized geometry

```
10
Lattice="3.576 0.000 0.000 0.000 3.576 0.000 0.000 0.000 23.014" Properties=species:S:1:pos:R:3 pbc="T T T"
Ca 0.000 0.000 0.000
Sm 0.000 0.000 4.623
Sm 0.000 0.000 9.218
Sm 0.000 0.000 13.796
Sm 0.000 0.000 18.391
Pb 1.788 1.788 2.316
Pb 1.788 1.788 6.918
Pb 1.788 1.788 11.507
Pb 1.788 1.788 16.096
Pb 1.788 1.788 20.699
```

Values from the calculation:
Magnetic moment (μB per formula unit): 0.00
SG: P4/mmm, No. 123
ΔH_f (0 K) (kJ/mol of formula units): -484

---

No. 3
Ca2SmPb9 | PBE-GGA | optimized geometry

```
12
Lattice="4.919 0.000 0.000 0.000 4.919 0.000 0.000 0.000 14.829" Properties=species:S:1:pos:R:3 pbc="T T T"
Ca 0.000 0.000 2.492
Ca 0.000 0.000 12.337
Sm 0.000 0.000 7.415
Pb 0.000 2.459 0.000
Pb 0.000 2.459 4.936
Pb 0.000 2.459 9.893
Pb 2.459 0.000 0.000
Pb 2.459 0.000 4.936
Pb 2.459 0.000 9.893
Pb 2.459 2.459 2.467
Pb 2.459 2.459 7.415
Pb 2.459 2.459 12.362
```

Values from the calculation:
Magnetic moment (μB per formula unit): 0.00
SG: P4/mmm, No. 123
ΔH_f (0 K) (kJ/mol of formula units): -386

---

No. 4
CaSmPb4 | PBE-GGA | optimized geometry

```
6
Lattice="5.618 0.000 0.000 0.458 5.942 0.000 0.245 2.957 5.509" Properties=species:S:1:pos:R:3 pbc="T T T"
Ca 0.000 0.000 0.000
Sm 3.038 2.971 0.000
Pb 5.853 2.974 1.893
Pb 0.468 5.925 3.617
Pb 3.049 2.956 3.518
Pb 3.271 5.943 1.992
```

Values from the calculation:
Magnetic moment (μB per formula unit): 0.00
SG: P-1, No. 2
ΔH_f (0 K) (kJ/mol of formula units): -141

---

Uncorrected energy in eV per atom, matching the order above: -4.4585, -4.4431, -3.8419, -3.8365